Record 1
A plane-wave DFT calculation with PBE was carried out for a geometry-optimized TbNdGaPb structure.

```
data_TbNdGaPb
_cell_length_a 7.579
_cell_length_b 7.579
_cell_length_c 7.579
_cell_angle_alpha 90.00
_cell_angle_beta 90.00
_cell_angle_gamma 90.00
_space_group_name_H-M_alt 'F -4 3 m'
_space_group_IT_number 216
_space_group_name_Hall 'F -4 2 3'
loop_
_atom_site_label
_atom_site_fract_x
_atom_site_fract_y
_atom_site_fract_z
Tb1 0.000 0.000 0.000
Nd1 0.000 0.000 0.500
Ga1 0.250 0.250 0.250
Pb1 0.250 0.250 0.750
```

Results
ρ = 8.85 Mg/m³
formation energy from the elements = -0.45 eV/atom


Record 2
A plane-wave DFT calculation with PBE was carried out for a geometry-optimized Pr4IrSe2S structure.

```
data_Pr4IrSe2S
_cell_length_a 7.365
_cell_length_b 4.165
_cell_length_c 7.448
_cell_angle_alpha 90.00
_cell_angle_beta 108.95
_cell_angle_gamma 90.00
_space_group_name_H-M_alt 'P 1 2/m 1'
_space_group_IT_number 10
loop_
_space_group_symop_operation_xyz
'x,y,z'
'-x,-y,-z'
'-x,y,-z'
'x,-y,z'
loop_
_atom_site_label
_atom_site_fract_x
_atom_site_fract_y
_atom_site_fract_z
Pr1 0.235 0.000 0.228
Pr2 0.252 0.500 0.765
Ir1 0.000 0.500 0.000
Se1 0.000 0.000 0.500
Se2 0.500 0.500 0.500
S1 0.500 0.000 0.000
```

Results
ρ = 7.27 Mg/m³
ΔE_f (raw) = -1.5667 eV/atom


Record 3
A plane-wave DFT calculation with PBE was carried out for a geometry-optimized HgB6 structure.

```
data_HgB6
_cell_length_a 4.193
_cell_length_b 4.193
_cell_length_c 4.193
_cell_angle_alpha 90.00
_cell_angle_beta 90.00
_cell_angle_gamma 90.00
_space_group_name_H-M_alt 'P m -3 m'
_space_group_IT_number 221
_space_group_name_Hall '-P 4 2 3'
loop_
_atom_site_label
_atom_site_fract_x
_atom_site_fract_y
_atom_site_fract_z
Hg1 0.000 0.000 0.000
B1 0.200 0.500 0.500
```

Results
ρ = 5.98 Mg/m³
formation energy from the elements = 0.40 eV/atom


Record 4
A plane-wave DFT calculation with PBE was carried out for a geometry-optimized Mg5Sc6Bi structure.

```
data_Mg5Sc6Bi
_cell_length_a 5.113
_cell_length_b 15.377
_cell_length_c 7.077
_cell_angle_alpha 90.00
_cell_angle_beta 90.00
_cell_angle_gamma 90.00
_space_group_name_H-M_alt 'C m m m'
_space_group_IT_number 65
_space_group_name_Hall '-C 2 2'
loop_
_atom_site_label
_atom_site_fract_x
_atom_site_fract_y
_atom_site_fract_z
Mg1 0.000 0.000 0.000
Mg2 0.000 0.327 0.500
Mg3 0.000 0.336 0.000
Sc1 0.000 0.170 0.242
Sc2 0.000 0.500 0.246
Bi1 0.000 0.000 0.500
```

Results
ρ = 3.58 Mg/m³
formation energy from the elements = -0.15 eV/atom


Record 5
A plane-wave DFT calculation with PBE was carried out for a geometry-optimized Hg4TeIr structure.

```
data_Hg4TeIr
_cell_length_a 8.187
_cell_length_b 8.187
_cell_length_c 8.187
_cell_angle_alpha 90.00
_cell_angle_beta 90.00
_cell_angle_gamma 90.00
_space_group_name_H-M_alt 'F -4 3 m'
_space_group_IT_number 216
_space_group_name_Hall 'F -4 2 3'
loop_
_atom_site_label
_atom_site_fract_x
_atom_site_fract_y
_atom_site_fract_z
Hg1 0.125 0.125 0.125
Te1 0.000 0.000 0.500
Ir1 0.250 0.250 0.750
```

Results
ρ = 13.58 Mg/m³
ΔE_f (raw) = 0.7962 eV/atom


Record 6
A plane-wave DFT calculation with PBE was carried out for a geometry-optimized Dy3MnGa12 structure.

```
data_Dy3MnGa12
_cell_length_a 4.226
_cell_length_b 4.226
_cell_length_c 16.661
_cell_angle_alpha 90.00
_cell_angle_beta 90.00
_cell_angle_gamma 90.00
_space_group_name_H-M_alt 'P 4/m m m'
_space_group_IT_number 123
_space_group_name_Hall '-P 4 2'
loop_
_atom_site_label
_atom_site_fract_x
_atom_site_fract_y
_atom_site_fract_z
Dy1 0.000 0.000 0.000
Dy2 0.000 0.000 0.262
Mn1 0.000 0.000 0.500
Ga1 0.000 0.500 0.130
Ga2 0.000 0.500 0.391
Ga3 0.500 0.500 0.000
Ga4 0.500 0.500 0.253
Ga5 0.500 0.500 0.500
```

Results
ρ = 7.70 Mg/m³
formation energy from the elements = -0.40 eV/atom


Record 7
A plane-wave DFT calculation with PBE was carried out for a geometry-optimized Pr3NdSb4 structure.

```
data_Pr3NdSb4
_cell_length_a 9.099
_cell_length_b 12.866
_cell_length_c 4.552
_cell_angle_alpha 90.00
_cell_angle_beta 90.00
_cell_angle_gamma 90.00
_space_group_name_H-M_alt 'C m m m'
_space_group_IT_number 65
_space_group_name_Hall '-C 2 2'
loop_
_atom_site_label
_atom_site_fract_x
_atom_site_fract_y
_atom_site_fract_z
Pr1 0.000 0.000 0.000
Pr2 0.250 0.250 0.500
Nd1 0.000 0.500 0.000
Sb1 0.000 0.251 0.000
Sb2 0.249 0.500 0.500
```

Results
ρ = 6.57 Mg/m³
energy relative to the lowest polymorph listed for this composition = 0.005 eV/atom
ΔE_f (raw) = -1.1918 eV/atom


Record 8
A plane-wave DFT calculation with PBE was carried out for a geometry-optimized TlNi2Cl structure.

```
data_TlNi2Cl
_cell_length_a 3.2608
_cell_length_b 3.2608
_cell_length_c 21.6756
_cell_angle_alpha 90.00
_cell_angle_beta 90.00
_cell_angle_gamma 120.00
_space_group_name_H-M_alt 'R -3 m'
_space_group_IT_number 166
_space_group_name_Hall '-R 3 2"'
loop_
_atom_site_label
_atom_site_fract_x
_atom_site_fract_y
_atom_site_fract_z
Tl1 0.0000 0.0000 0.0000
Ni1 0.0000 0.0000 0.2452
Cl1 0.0000 0.0000 0.5000
```

Results
ρ = 8.92 Mg/m³
energy relative to the lowest polymorph listed for this composition = 0.209 eV/atom
ΔE_f (raw) = 0.2835 eV/atom


Record 9
A plane-wave DFT calculation with PBE was carried out for a geometry-optimized NpTi2Ir structure.

```
data_NpTi2Ir
_cell_length_a 4.715
_cell_length_b 4.715
_cell_length_c 2.975
_cell_angle_alpha 90.00
_cell_angle_beta 90.00
_cell_angle_gamma 90.00
_space_group_name_H-M_alt 'P 4/m m m'
_space_group_IT_number 123
_space_group_name_Hall '-P 4 2'
loop_
_atom_site_label
_atom_site_fract_x
_atom_site_fract_y
_atom_site_fract_z
Np1 0.000 0.000 0.000
Ti1 0.000 0.500 0.500
Ir1 0.500 0.500 0.000
```

Results
ρ = 13.18 Mg/m³
formation energy from the elements = -0.21 eV/atom
energy relative to the lowest polymorph listed for this composition = 0.082 eV/atom


Record 10
A plane-wave DFT calculation with PBE was carried out for a geometry-optimized Sr2CuP2 structure.

```
data_Sr2CuP2
_cell_length_a 7.291
_cell_length_b 7.291
_cell_length_c 4.384
_cell_angle_alpha 90.00
_cell_angle_beta 90.00
_cell_angle_gamma 90.00
_space_group_name_H-M_alt 'P 4/m b m'
_space_group_IT_number 127
_space_group_name_Hall '-P 4 2ab'
loop_
_atom_site_label
_atom_site_fract_x
_atom_site_fract_y
_atom_site_fract_z
Sr1 0.185 0.315 0.000
Cu1 0.000 0.000 0.500
P1 0.109 0.609 0.500
```

Results
ρ = 4.29 Mg/m³
formation energy from the elements = -0.59 eV/atom
energy relative to the lowest polymorph listed for this composition = 0.270 eV/atom


Record 11
A plane-wave DFT calculation with PBE was carried out for a geometry-optimized Nd2PuAu6 structure.

```
data_Nd2PuAu6
_cell_length_a 8.2781
_cell_length_b 8.2781
_cell_length_c 3.5139
_cell_angle_alpha 90.00
_cell_angle_beta 90.00
_cell_angle_gamma 120.00
_space_group_name_H-M_alt 'P 6/m m m'
_space_group_IT_number 191
_space_group_name_Hall '-P 6 2'
loop_
_atom_site_label
_atom_site_fract_x
_atom_site_fract_y
_atom_site_fract_z
Nd1 0.3333 0.6667 0.0000
Pu1 0.0000 0.0000 0.0000
Au1 0.0000 0.3327 0.5000
```

Results
ρ = 13.65 Mg/m³
formation energy from the elements = -0.66 eV/atom


Record 12
A plane-wave DFT calculation with PBE was carried out for a geometry-optimized FeNi2Rh6 structure.

```
data_FeNi2Rh6
_cell_length_a 8.903
_cell_length_b 5.579
_cell_length_c 5.304
_cell_angle_alpha 90.00
_cell_angle_beta 100.13
_cell_angle_gamma 90.00
_space_group_name_H-M_alt 'C 1 2/m 1'
_space_group_IT_number 12
loop_
_space_group_symop_operation_xyz
'x,y,z'
'-x,-y,-z'
'-x,y,-z'
'x,-y,z'
'x+1/2,y+1/2,z'
'-x+1/2,-y+1/2,-z'
'-x+1/2,y+1/2,-z'
'x+1/2,-y+1/2,z'
loop_
_atom_site_label
_atom_site_fract_x
_atom_site_fract_y
_atom_site_fract_z
Fe1 0.000 0.000 0.000
Ni1 0.078 0.500 0.852
Rh1 0.000 0.214 0.500
Rh2 0.217 0.271 0.242
```

Results
ρ = 10.13 Mg/m³
formation energy from the elements = 0.32 eV/atom


| no. | volume (A^3/atom) | Fermi-level density of states (states/eV/f.u.) |
| --- | --- | --- |
| 1 | 27.2 | 2.35 |
| 2 | 27.0 | 6.60 |
| 3 | 10.5 | 1.98 |
| 4 | 23.2 | 11.55 |
| 5 | 22.9 | 6.36 |
| 6 | 18.6 | 7.78 |
| 7 | 33.3 | 0.93 |
| 8 | 16.6 | 4.93 |
| 9 | 16.5 | 6.04 |
| 10 | 23.3 | 1.64 |
| 11 | 23.2 | 13.92 |
| 12 | 14.4 | 14.51 |